# 1
Mn3SnN: optimized geometry, PBE-GGA.

Cell and atoms, written as POSCAR:
```
Mn3SnN
1.0
4.896 0.000 0.000
0.000 4.896 0.000
0.000 0.000 4.896
Mn Sn N
3 1 1
Cartesian
0.000 0.000 2.448 Mn
0.000 2.448 0.000 Mn
2.448 0.000 0.000 Mn
0.000 0.000 0.000 Sn
2.448 2.448 2.448 N
```

ΔE_f (raw) = 2.13 eV/atom
calculated total energy = -29.2 eV per cell
symmetry = No. 221

# 2
MnSnN: optimized geometry, PBE-GGA.

Cell and atoms, written as POSCAR:
```
MnSnN
1.0
3.874 -1.490 0.000
3.874 1.490 0.000
-2.794 0.000 7.903
Mn Sn N
2 2 2
Cartesian
0.236 0.000 3.075 Mn
4.719 0.000 4.829 Mn
-0.866 0.000 6.540 Sn
5.821 0.000 1.363 Sn
1.812 0.000 4.162 N
3.143 0.000 3.741 N
```

ΔE_f (raw) = 0.11 eV/atom
calculated total energy = -42.3 eV per cell
symmetry = No. 12

# 3
Mn4Sn2N: optimized geometry, PBE-GGA.

Cell and atoms, written as POSCAR:
```
Mn4Sn2N
1.0
-1.987 1.987 6.832
1.987 -1.987 6.832
1.987 1.987 -6.832
Mn Sn N
4 2 1
Cartesian
1.987 0.000 0.000 Mn
0.000 0.000 1.933 Mn
0.000 1.987 0.000 Mn
0.000 0.000 11.730 Mn
0.000 0.000 4.669 Sn
0.000 0.000 8.994 Sn
0.000 0.000 0.000 N
```

ΔE_f (raw) = -0.04 eV/atom
calculated total energy = -53.3 eV per cell
symmetry = No. 139

# 4
MnSnN3: optimized geometry, PBE-GGA.

Cell and atoms, written as POSCAR:
```
MnSnN3
1.0
3.845 0.000 0.000
0.000 3.845 0.000
0.000 0.000 3.845
Mn Sn N
1 1 3
Cartesian
0.000 0.000 0.000 Mn
1.923 1.923 1.923 Sn
0.000 0.000 1.923 N
0.000 1.923 0.000 N
1.923 0.000 0.000 N
```

ΔE_f (raw) = 0.85 eV/atom
calculated total energy = -33.9 eV per cell
symmetry = No. 221

# 5
Mn2TcSnN: optimized geometry, PBE-GGA.

Cell and atoms, written as POSCAR:
```
Mn2TcSnN
1.0
3.974 0.000 0.000
0.000 3.974 0.000
0.000 0.000 4.112
Mn Tc Sn N
2 1 1 1
Cartesian
0.000 1.987 0.000 Mn
1.987 0.000 0.000 Mn
0.000 0.000 2.056 Tc
1.987 1.987 2.056 Sn
0.000 0.000 0.000 N
```

ΔE_f (raw) = -0.10 eV/atom
calculated total energy = -41.5 eV per cell
symmetry = No. 123

# 6
Ti2MnSnN: optimized geometry, PBE-GGA.

Cell and atoms, written as POSCAR:
```
Ti2MnSnN
1.0
4.227 0.000 0.000
0.000 4.227 0.000
0.000 0.000 3.984
Ti Mn Sn N
2 1 1 1
Cartesian
0.000 2.113 0.000 Ti
2.113 0.000 0.000 Ti
0.000 0.000 1.992 Mn
2.113 2.113 1.992 Sn
0.000 0.000 0.000 N
```

ΔE_f (raw) = -0.68 eV/atom
calculated total energy = -40.7 eV per cell
symmetry = No. 123

# 7
Mn2VSnN: optimized geometry, PBE-GGA.

Cell and atoms, written as POSCAR:
```
Mn2VSnN
1.0
3.896 0.000 0.000
0.000 3.896 0.000
0.000 0.000 4.052
Mn V Sn N
2 1 1 1
Cartesian
0.000 1.948 0.000 Mn
1.948 0.000 0.000 Mn
0.000 0.000 2.026 V
1.948 1.948 2.026 Sn
0.000 0.000 0.000 N
```

ΔE_f (raw) = -0.27 eV/atom
calculated total energy = -41.1 eV per cell
symmetry = No. 123

# 8
Zr2MnSnN: optimized geometry, PBE-GGA.

Cell and atoms, written as POSCAR:
```
Zr2MnSnN
1.0
4.606 0.000 0.000
0.000 4.606 0.000
0.000 0.000 3.947
Zr Mn Sn N
2 1 1 1
Cartesian
0.000 2.303 0.000 Zr
2.303 0.000 0.000 Zr
0.000 0.000 1.973 Mn
2.303 2.303 1.973 Sn
0.000 0.000 0.000 N
```

ΔE_f (raw) = -0.69 eV/atom
calculated total energy = -42.1 eV per cell
symmetry = No. 123

# 9
Sr2MnN2: optimized geometry, PBE-GGA.

Cell and atoms, written as POSCAR:
```
Sr2MnN2
1.0
2.706 -5.737 0.000
2.706 5.737 0.000
0.000 0.000 12.364
Sr Mn N
8 4 8
Cartesian
2.706 5.105 10.631 Sr
2.706 4.108 5.302 Sr
2.706 1.630 11.484 Sr
2.706 0.633 4.448 Sr
2.706 -0.633 7.916 Sr
2.706 -1.630 0.880 Sr
2.706 -4.108 7.063 Sr
2.706 -5.105 1.734 Sr
2.706 3.054 8.242 Mn
2.706 2.684 2.059 Mn
2.706 -2.684 10.305 Mn
2.706 -3.054 4.123 Mn
2.706 4.778 7.876 N
2.706 3.948 0.851 N
2.706 1.789 7.033 N
2.706 0.959 1.694 N
2.706 -0.959 10.670 N
2.706 -1.789 5.331 N
2.706 -3.948 11.514 N
2.706 -4.778 4.488 N
```

ΔE_f (raw) = -0.54 eV/atom
calculated total energy = -127.5 eV per cell
symmetry = No. 64

# 10
Sr3Mn5N12: optimized geometry, PBE-GGA.

Cell and atoms, written as POSCAR:
```
Sr3Mn5N12
1.0
-6.278 6.278 6.278
6.278 -6.278 6.278
6.278 6.278 -6.278
Sr Mn N
12 20 48
Cartesian
3.139 1.569 0.000 Sr
6.278 3.139 -1.569 Sr
1.569 0.000 3.139 Sr
7.847 0.000 3.139 Sr
0.000 3.139 1.569 Sr
3.139 -1.569 6.278 Sr
3.139 7.847 0.000 Sr
6.278 3.139 4.708 Sr
-1.569 6.278 3.139 Sr
4.708 6.278 3.139 Sr
0.000 3.139 7.847 Sr
3.139 4.708 6.278 Sr
0.000 0.000 0.000 Mn
3.139 3.139 -3.139 Mn
3.139 -3.139 3.139 Mn
6.278 0.000 0.000 Mn
9.416 1.569 0.000 Mn
6.278 -3.139 4.708 Mn
4.708 6.278 -3.139 Mn
4.708 0.000 3.139 Mn
3.139 4.708 0.000 Mn
6.278 3.139 1.569 Mn
-3.139 3.139 3.139 Mn
0.000 6.278 0.000 Mn
0.000 0.000 6.278 Mn
3.139 3.139 3.139 Mn
0.000 3.139 4.708 Mn
3.139 1.569 6.278 Mn
1.569 6.278 3.139 Mn
1.569 0.000 9.416 Mn
0.000 9.416 1.569 Mn
-3.139 4.708 6.278 Mn
4.983 -3.600 3.681 N
10.711 0.543 -0.461 N
8.122 0.543 0.461 N
7.572 -2.678 3.681 N
8.955 2.596 -1.294 N
6.739 -4.433 5.735 N
3.681 4.983 -3.600 N
5.735 -0.461 1.845 N
5.735 6.739 -4.433 N
3.681 -1.294 3.600 N
3.600 3.681 -1.294 N
5.817 1.845 0.543 N
9.878 2.596 1.294 N
5.817 -1.845 5.735 N
5.735 5.817 -1.845 N
3.681 1.294 2.678 N
3.681 7.572 -2.678 N
5.735 0.461 4.433 N
2.678 3.681 1.294 N
6.739 4.433 0.543 N
1.845 5.735 -0.461 N
7.572 2.678 2.596 N
4.433 5.735 0.461 N
4.983 3.600 2.596 N
1.294 2.678 3.681 N
1.845 0.543 5.817 N
-1.294 3.600 3.681 N
4.433 0.543 6.739 N
-0.461 1.845 5.735 N
3.600 2.596 4.983 N
0.543 5.817 1.845 N
2.596 -1.294 8.955 N
2.596 4.983 3.600 N
0.543 0.461 8.122 N
0.461 8.122 0.543 N
-3.600 3.681 4.983 N
0.461 4.433 5.735 N
2.678 2.596 7.572 N
2.596 7.572 2.678 N
0.543 -0.461 10.711 N
0.543 6.739 4.433 N
2.596 1.294 9.878 N
-0.461 10.711 0.543 N
-2.678 3.681 7.572 N
-1.294 8.955 2.596 N
-1.845 5.735 5.817 N
-4.433 5.735 6.739 N
1.294 9.878 2.596 N
```

ΔE_f (raw) = -0.12 eV/atom
calculated total energy = -612.9 eV per cell
symmetry = No. 230

# 11
SrMnN3: optimized geometry, PBE-GGA.

Cell and atoms, written as POSCAR:
```
SrMnN3
1.0
4.461 0.000 0.000
0.000 4.461 0.000
0.000 0.000 4.461
Sr Mn N
1 1 3
Cartesian
0.000 0.000 0.000 Sr
2.230 2.230 2.230 Mn
0.000 0.000 2.230 N
0.000 2.230 0.000 N
2.230 0.000 0.000 N
```

ΔE_f (raw) = 2.32 eV/atom
calculated total energy = -24.2 eV per cell
symmetry = No. 221

# 12
SrMn2N3: optimized geometry, PBE-GGA.

Cell and atoms, written as POSCAR:
```
SrMn2N3
1.0
8.502 -1.629 0.000
8.502 1.629 0.000
-1.374 0.000 5.762
Sr Mn N
2 4 6
Cartesian
1.738 0.000 2.609 Sr
13.892 0.000 3.153 Sr
3.359 0.000 0.045 Mn
7.382 0.000 0.438 Mn
8.247 0.000 5.324 Mn
12.271 0.000 5.717 Mn
0.466 0.000 4.826 N
3.512 0.000 4.701 N
6.648 0.000 4.521 N
8.982 0.000 1.241 N
12.118 0.000 1.061 N
15.164 0.000 0.937 N
```

ΔE_f (raw) = -0.41 eV/atom
calculated total energy = -95.0 eV per cell
symmetry = No. 12

> Among the records above, which one has the lowest calculated total energy?

Sr3Mn5N12

> What is the formula in the twelfth record?

SrMn2N3

> What is the calculated total energy in the ninth record?

-127.5 eV per cell